1.
DFT (PBE) results for crystalline DyAl4IrPd2 at its relaxed geometry.

Values from the calculation:
Energy of formation = -0.7612 eV per atom
Space-group type = R-3m
Mass density = 8.1 Mg/m³

Unit cell a=4.264 b=4.264 c=9.103 alpha=76.46 beta=76.46 gamma=60.00
Sites, in units of the cell vectors:
Al1 0.866 0.866 0.403
Al2 0.598 0.598 0.207
Al3 0.134 0.134 0.597
Al4 0.402 0.402 0.793
Ir1 0.500 0.500 0.500
Pd1 0.237 0.237 0.290
Pd2 0.763 0.763 0.710
Dy1 0.000 0.000 0.000

2.
DFT (PBE) results for crystalline Ca2ZnHg at its relaxed geometry.

Values from the calculation:
Energy of formation = -0.1974 eV per atom
Space-group type = F-43m
Mass density = 6.1 Mg/m³

Unit cell a=5.112 b=5.112 c=5.112 alpha=60.00 beta=60.00 gamma=60.00
Sites, in units of the cell vectors:
Ca1 0.250 0.250 0.250
Ca2 0.000 0.000 0.000
Hg1 0.500 0.500 0.500
Zn1 0.750 0.750 0.750

3.
DFT (PBE) results for crystalline ReRu2Cl at its relaxed geometry.

Values from the calculation:
Space-group type = Immm
Formation energy without anion corrections = 3.20 eV per formula unit
Mass density = 12.4 Mg/m³

Unit cell a=5.157 b=5.157 c=5.157 alpha=147.90 beta=128.02 gamma=62.41
Sites, in units of the cell vectors:
Ru1 0.516 0.516 0.000
Ru2 0.984 0.984 0.000
Cl1 0.750 0.250 0.500
Re1 0.250 0.750 0.500

4.
DFT (PBE) results for crystalline BaAlIn2 at its relaxed geometry.

Values from the calculation:
Energy of formation = -0.2279 eV per atom
Space-group type = Cm
Mass density = 5.2 Mg/m³

Unit cell a=4.808 b=4.808 c=6.928 alpha=69.75 beta=69.75 gamma=59.84
Sites, in units of the cell vectors:
In1 0.225 0.225 0.323
In2 0.972 0.972 0.084
Ba1 0.758 0.758 0.727
Al1 0.544 0.544 0.366

5.
DFT (PBE) results for crystalline Pr4DyHo2Th at its relaxed geometry.

Values from the calculation:
Energy of formation = 0.1363 eV per atom
Space-group type = P2/m
Mass density = 7.9 Mg/m³

Unit cell a=6.056 b=6.054 c=9.541 alpha=50.67 beta=90.00 gamma=90.00
Sites, in units of the cell vectors:
Dy1 0.000 0.500 0.500
Ho1 0.500 0.000 0.500
Ho2 0.000 0.000 0.000
Pr1 0.500 0.753 0.247
Pr2 0.500 0.247 0.753
Pr3 0.000 0.748 0.752
Pr4 0.000 0.252 0.248
Th1 0.500 0.500 0.000

6.
DFT (PBE) results for crystalline ZrTaH3 at its relaxed geometry.

Values from the calculation:
VASP energy = -5.868 eV/atom
Space-group type = Pm-3m
Mass density = 9.2 Mg/m³

Unit cell a=3.677 b=3.677 c=3.677 alpha=90.00 beta=90.00 gamma=90.00
Sites, in units of the cell vectors:
H1 0.000 0.500 0.000
H2 0.000 0.000 0.500
H3 0.500 0.000 0.000
Ta1 0.500 0.500 0.500
Zr1 0.000 0.000 0.000

7.
DFT (PBE) results for crystalline Cs2FeGeBr6 at its relaxed geometry.

Values from the calculation:
Space-group type = I4/mmm
Formation energy without anion corrections = -10.03 eV per formula unit
Mass density = 4.4 Mg/m³

Unit cell a=7.743 b=7.743 c=7.739 alpha=59.98 beta=59.98 gamma=90.00
Sites, in units of the cell vectors:
Cs1 0.750 0.250 0.500
Cs2 0.250 0.750 0.500
Br1 0.258 0.742 0.000
Br2 0.258 0.258 0.484
Br3 0.742 0.258 0.000
Br4 0.742 0.742 0.516
Br5 0.742 0.742 0.000
Br6 0.258 0.258 0.000
Fe1 0.500 0.500 0.000
Ge1 0.000 0.000 0.000

8.
DFT (PBE) results for crystalline Dy3As2P at its relaxed geometry.

Values from the calculation:
Energy of formation = -1.5610 eV per atom
Space-group type = Fddd
Mass density = 7.7 Mg/m³

Unit cell a=7.070 b=7.070 c=12.902 alpha=100.52 beta=100.52 gamma=109.47
Sites, in units of the cell vectors:
Dy1 0.410 0.415 0.331
Dy2 0.756 0.756 0.000
Dy3 0.244 0.244 0.000
Dy4 0.166 0.671 0.831
Dy5 0.585 0.590 0.669
Dy6 0.921 0.916 0.331
Dy7 0.006 0.506 0.500
Dy8 0.665 0.160 0.831
Dy9 0.840 0.335 0.169
Dy10 0.329 0.834 0.169
Dy11 0.084 0.079 0.669
Dy12 0.494 0.994 0.500
As1 0.750 0.750 0.499
As2 0.667 0.167 0.334
As3 0.500 0.000 0.001
As4 0.833 0.333 0.666
As5 0.417 0.417 0.834
As6 0.250 0.250 0.501
As7 0.583 0.583 0.166
As8 0.000 0.500 0.999
P1 0.083 0.083 0.167
P2 0.333 0.833 0.667
P3 0.167 0.667 0.333
P4 0.917 0.917 0.833